Entry one
Density functional theory data (GGA-PBE) for an optimized crystal structure of K2Na4Cd.

Output
Theoretical density (g cm⁻³): 1.6

CIF file:
```
data_K2Na4Cd
_cell_length_a 6.932
_cell_length_b 12.395
_cell_length_c 13.606
_cell_angle_alpha 90.00
_cell_angle_beta 90.00
_cell_angle_gamma 90.00
_space_group_name_H-M_alt 'P b c a'
_space_group_IT_number 61
loop_
_space_group_symop_operation_xyz
'x,y,z'
'-x,-y,-z'
'-x+1/2,-y,z+1/2'
'x+1/2,y,-z+1/2'
'x+1/2,-y+1/2,-z'
'-x+1/2,y+1/2,z'
'-x,y+1/2,-z+1/2'
'x,-y+1/2,z+1/2'
loop_
_atom_site_label
_atom_site_type_symbol
_atom_site_fract_x
_atom_site_fract_y
_atom_site_fract_z
_atom_site_occupancy
K1 K 0.001 0.160 0.034 1
Na1 Na 0.002 0.153 0.308 1
Na2 Na 0.248 0.091 0.748 1
Cd1 Cd 0.000 0.000 0.500 1
```


Entry two
Density functional theory data (GGA-PBE) for an optimized crystal structure of K2Na4Cd.

Output
Theoretical density (g cm⁻³): 1.4

CIF file:
```
data_K2Na4Cd
_cell_length_a 5.955
_cell_length_b 5.955
_cell_length_c 19.411
_cell_angle_alpha 90.00
_cell_angle_beta 90.00
_cell_angle_gamma 90.00
_space_group_name_H-M_alt 'I 4/m m m'
_space_group_IT_number 139
_space_group_name_Hall '-I 4 2'
loop_
_atom_site_label
_atom_site_type_symbol
_atom_site_fract_x
_atom_site_fract_y
_atom_site_fract_z
_atom_site_occupancy
K1 K 0.000 0.000 0.139 1
Na1 Na 0.000 0.000 0.342 1
Na2 Na 0.000 0.500 0.000 1
Cd1 Cd 0.000 0.000 0.500 1
```


Most stable: entry one